# PBE Tb3Sm2Si4, relaxed
# Size of the total moment in Bohr magnetons per cell: 0.0
# Theoretical density in g/cm3: 6.83
# Calculated volume in Å³/cell: 433
# Formation energy without anion corrections in eV per atom: -0.75
data_Tb3Sm2Si4
_chemical_formula_sum 'Tb6 Sm4 Si8'
_cell_length_a 7.720
_cell_length_b 7.775
_cell_length_c 7.517
_cell_angle_alpha 90.00
_cell_angle_beta 106.34
_cell_angle_gamma 90.00
_space_group_name_H-M_alt 'P 1 21/c 1'
_space_group_IT_number 14
_space_group_name_Hall '-P 2ybc'
loop_
_atom_site_label
_atom_site_type_symbol
_atom_site_fract_x
_atom_site_fract_y
_atom_site_fract_z
_atom_site_occupancy
Tb1 Tb 0.000 0.000 0.000 1
Tb2 Tb 0.257 0.182 0.746 1
Sm1 Sm 0.299 0.681 0.912 1
Si1 Si 0.008 0.618 0.122 1
Si2 Si 0.420 0.029 0.120 1